## K3NiI (PBEsol)

Data for a relaxed K3NiI crystal.

a b c (Å): 6.4585 6.4585 6.4585
angles (deg): 90.00 90.00 90.00
Each line ends with the local moment (μB).
Fractional positions:
Ni: 0.5000 0.5000 0.5000  0.71
K: 0.0000 0.5000 0.0000  0.00
K: 0.0000 0.0000 0.5000  0.00
I: 0.0000 0.0000 0.0000  0.00
K: 0.5000 0.0000 0.0000  0.00

Calculated total energy ... -10.3 eV for the cell shown
Density ... 1.867 g/cm³
Symmetry ... No. 221

## CdIn2Re (PBEsol)

Data for a relaxed CdIn2Re crystal.

a b c (Å): 3.0102 4.3173 5.8384
angles (deg): 90.00 90.00 90.00
Fractional positions:
In: 0.0000 0.0000 0.9867
Cd: 0.5000 0.5000 0.7472
In: 0.5000 0.5000 0.2777
Re: 0.0000 0.0000 0.4883

Formation energy from the elements ... 0.5248 eV per atom
Density ... 11.561 g/cm³
Symmetry ... No. 25

## Mg2Tl2Mo3O12 (PBEsol)

Data for a relaxed Mg2Tl2Mo3O12 crystal.

a b c (Å): 10.7694 10.7694 10.7694
angles (deg): 90.00 90.00 90.00
Fractional positions:
Mg: 0.6616 0.6616 0.6616
Tl: 0.9394 0.9394 0.9394
O: 0.8968 0.1819 0.2511
O: 0.7277 0.0526 0.7040
O: 0.4746 0.0424 0.7786
O: 0.2511 0.8968 0.1819
O: 0.9746 0.4576 0.2214
Mo: 0.7016 0.3789 0.4726
O: 0.7786 0.4746 0.0424
O: 0.7960 0.2723 0.5526
O: 0.7489 0.3968 0.3181
Mg: 0.3384 0.1616 0.8384
Mo: 0.5274 0.2016 0.1211
O: 0.2960 0.2277 0.4474
O: 0.9576 0.2786 0.0254
O: 0.2489 0.1032 0.6819
Mg: 0.3855 0.3855 0.3855
O: 0.3237 0.4781 0.5459
O: 0.7040 0.7277 0.0526
Tl: 0.5606 0.0606 0.4394
Mo: 0.8789 0.0274 0.2984
Mg: 0.8384 0.3384 0.1616
Mo: 0.9726 0.7984 0.6211
O: 0.5526 0.7960 0.2723
O: 0.8181 0.7511 0.6032
O: 0.3968 0.3181 0.7489
O: 0.4474 0.2960 0.2277
O: 0.3181 0.7489 0.3968
O: 0.9781 0.9541 0.6763
O: 0.0424 0.7786 0.4746
O: 0.7511 0.6032 0.8181
Mo: 0.2016 0.1211 0.5274
Mg: 0.6145 0.8855 0.1145
O: 0.5459 0.3237 0.4781
O: 0.0526 0.7040 0.7277
Mg: 0.1616 0.8384 0.3384
Mo: 0.4726 0.7016 0.3789
O: 0.8237 0.0219 0.4541
Mg: 0.1145 0.6145 0.8855
O: 0.5254 0.5424 0.7214
Mo: 0.6211 0.9726 0.7984
O: 0.2277 0.4474 0.2960
Tl: 0.3366 0.8366 0.6634
Tl: 0.8366 0.6634 0.3366
O: 0.9474 0.2040 0.7723
Tl: 0.4394 0.5606 0.0606
Mo: 0.0274 0.2984 0.8789
O: 0.5424 0.7214 0.5254
O: 0.1032 0.6819 0.2489
Mo: 0.3789 0.4726 0.7016
O: 0.7723 0.9474 0.2040
O: 0.6032 0.8181 0.7511
O: 0.4576 0.2214 0.9746
Tl: 0.0606 0.4394 0.5606
O: 0.2214 0.9746 0.4576
Tl: 0.6634 0.3366 0.8366
O: 0.1763 0.5219 0.0459
O: 0.9541 0.6763 0.9781
O: 0.6763 0.9781 0.9541
O: 0.4541 0.8237 0.0219
O: 0.7214 0.5254 0.5424
O: 0.2786 0.0254 0.9576
O: 0.5219 0.0459 0.1763
O: 0.0254 0.9576 0.2786
O: 0.0219 0.4541 0.8237
O: 0.1819 0.2511 0.8968
Mg: 0.8855 0.1145 0.6145
Mo: 0.2984 0.8789 0.0274
O: 0.4781 0.5459 0.3237
O: 0.0459 0.1763 0.5219
O: 0.2723 0.5526 0.7960
Mo: 0.1211 0.5274 0.2016
Tl: 0.1634 0.1634 0.1634
Mo: 0.7984 0.6211 0.9726
O: 0.6819 0.2489 0.1032
O: 0.2040 0.7723 0.9474

Calculated total energy ... -581.6 eV for the cell shown
Density ... 4.984 g/cm³
Symmetry ... No. 198

## FePOsCl2 (PBEsol)

Data for a relaxed FePOsCl2 crystal.

a b c (Å): 4.4747 4.8027 4.8027
angles (deg): 90.00 90.00 90.00
Each line ends with the local moment (μB).
Fractional positions:
P: 0.5000 0.0000 0.0000  0.00
Os: 0.0000 0.0000 0.0000  0.07
Fe: 0.5000 0.5000 0.5000  3.44
Cl: 0.0000 0.0000 0.5000  0.04
Cl: 0.0000 0.5000 0.0000  0.04

Calculated total energy ... -26.3 eV for the cell shown
Density ... 5.598 g/cm³
Symmetry ... No. 123

## K3Ba (PBEsol)

Data for a relaxed K3Ba crystal.

a b c (Å): 8.5382 8.5382 8.5382
angles (deg): 90.00 90.00 90.00
Each line ends with the local moment (μB).
Fractional positions:
Ba: 0.0000 0.0000 0.0000  0.14
K: 0.0000 0.0000 0.5000  0.01
K: 0.0000 0.5000 0.0000  0.01
K: 0.5000 0.0000 0.0000  0.01

Formation energy from the elements ... 0.6336 eV per atom
Density ... 0.679 g/cm³
Symmetry ... No. 221

## Ba2NbAgW (PBEsol)

Data for a relaxed Ba2NbAgW crystal.

a b c (Å): 4.9698 6.0822 6.0822
angles (deg): 90.00 90.00 90.00
Each line ends with the local moment (μB).
Fractional positions:
Ag: 0.0000 0.0000 0.0000  0.09
Ba: 0.0000 0.0000 0.5000  0.07
Nb: 0.5000 0.5000 0.5000  2.79
W: 0.5000 0.0000 0.0000  1.90
Ba: 0.0000 0.5000 0.0000  0.07

Formation energy from the elements ... 1.9209 eV per atom
Density ... 5.955 g/cm³
Symmetry ... No. 123